Record 1
# K4Rb2AuO

An optimized crystal structure of K4Rb2AuO (PBE, Alexandria via LeMat-Bulk).

Computed properties:
Mass density = 2.33 g/cm3
Total DFT energy (no corrections) = -2.283 eV/atom

a b c (Å): 8.1343 8.3220 8.0941
angles (deg): 123.56 120.21 83.27
Element x y z (fractional)
O1 0.7624 0.5821 0.4089
K1 0.9792 0.8843 0.5257
Au1 0.0555 0.3791 0.9339
K2 0.8731 0.7447 0.8435
Rb1 0.5219 0.2482 0.2566
K3 0.4598 0.7486 0.3499
Rb2 0.0790 0.4027 0.4829
K4 0.6562 0.3974 0.9726

---

Record 2
# K2LaHoO4

An optimized crystal structure of K2LaHoO4 (PBE, Alexandria via LeMat-Bulk).

Computed properties:
Mass density = 5.27 g/cm3
Total DFT energy (no corrections) = -6.647 eV/atom

a b c (Å): 3.5941 6.2316 6.6146
angles (deg): 108.29 90.00 90.00
Element x y z (fractional)
O1 0.0000 0.2556 0.8118
La1 0.5000 0.5000 0.0000
O2 0.0000 0.7444 0.1882
O3 0.5000 0.2172 0.1865
Ho1 0.0000 0.0000 0.0000
O4 0.5000 0.7828 0.8135
K1 0.5000 0.0000 0.5000
K2 0.0000 0.5000 0.5000

---

Record 3
# TmNi12Ge4

An optimized crystal structure of TmNi12Ge4 (PBE, Alexandria via LeMat-Bulk).

Computed properties:
Mass density = 7.84 g/cm3
Total DFT energy (no corrections) = -5.314 eV/atom
ΔE_f = 0.116 eV per atom

a b c (Å): 6.8427 6.8427 6.8427
angles (deg): 109.47 109.47 109.47
Element x y z (fractional)
Ni1 0.2009 0.8477 0.3532
Ni2 0.7991 0.1523 0.6468
Ni3 0.1523 0.6468 0.7991
Ni4 0.3532 0.2009 0.8477
Ni5 0.3532 0.5055 0.1523
Ni6 0.8477 0.6468 0.4945
Ni7 0.1523 0.3532 0.5055
Ge1 0.0000 0.5000 0.0000
Ge2 0.5000 0.5000 0.5000
Ni8 0.5055 0.1523 0.3532
Ni9 0.6468 0.4945 0.8477
Ge3 0.5000 0.0000 0.0000
Ni10 0.4945 0.8477 0.6468
Ni11 0.6468 0.7991 0.1523
Ni12 0.8477 0.3532 0.2009
Tm1 0.0000 0.0000 0.0000
Ge4 0.0000 0.0000 0.5000

---

Record 4
# BeAl2Tl

An optimized crystal structure of BeAl2Tl (PBE, Alexandria via LeMat-Bulk).

Computed properties:
Mass density = 5.94 g/cm3
Energy above the most stable polymorph in this dataset = 270 meV/atom
Total DFT energy (no corrections) = -2.792 eV/atom
ΔE_f = 0.603 eV per atom

a b c (Å): 4.7278 4.7278 4.7278
angles (deg): 60.00 60.00 60.00
Element x y z (fractional)
Tl1 0.7500 0.7500 0.7500
Al1 0.0000 0.0000 0.0000
Be1 0.5000 0.5000 0.5000
Al2 0.2500 0.2500 0.2500

---

Record 5
# MnTl2Rh

An optimized crystal structure of MnTl2Rh (PBE, Alexandria via LeMat-Bulk).

Computed properties:
Mass density = 11.11 g/cm3
Energy above the most stable polymorph in this dataset = 335 meV/atom
Total DFT energy (no corrections) = -4.805 eV/atom
ΔE_f = 0.508 eV per atom

a b c (Å): 7.5789 7.5789 6.1167
angles (deg): 51.72 51.72 90.00
Element x y z (fractional)
Tl1 0.6337 0.1250 0.2500
Rh1 0.7500 0.2500 0.5000
Tl2 0.8750 0.8837 0.7500
Mn1 0.5000 0.5000 0.0000
Rh2 0.0000 0.0000 0.0000
Mn2 0.2500 0.7500 0.5000
Tl3 0.1163 0.6250 0.2500
Tl4 0.3750 0.3663 0.7500

---

Record 6
# Nd3RuBr

An optimized crystal structure of Nd3RuBr (PBE, Alexandria via LeMat-Bulk).

Computed properties:
Mass density = 6.49 g/cm3
Energy above the most stable polymorph in this dataset = 0 meV/atom
Total DFT energy (no corrections) = -5.603 eV/atom

a b c (Å): 3.8761 9.6750 8.3728
angles (deg): 90.00 90.00 90.00
Element x y z (fractional)
Nd1 0.7500 0.7500 0.2568
Nd2 0.7500 0.9257 0.8430
Nd3 0.2500 0.2500 0.7432
Ru1 0.2500 0.7500 0.0265
Br1 0.2500 0.7500 0.5673
Nd4 0.2500 0.0743 0.1570
Nd5 0.7500 0.5743 0.8430
Ru2 0.7500 0.2500 0.9735
Br2 0.7500 0.2500 0.4327
Nd6 0.2500 0.4257 0.1570